(1)
VASP calculation (PBEsol) on crystalline Cs3SbPt at its relaxed geometry.

Structure (POSCAR):
```
Cs3SbPt
1.0
7.0142 0.0000 0.0000
0.0000 7.0142 0.0000
0.0000 0.0000 7.0142
Cs Sb Pt
3 1 1
Cartesian
0.0000 0.0000 3.5071
0.0000 3.5071 0.0000
3.5071 0.0000 0.0000
0.0000 0.0000 0.0000
3.5071 3.5071 3.5071
```

Summary:
E_form (uncorrected) = 3.0 eV/f.u.
crystal system = cubic
raw total energy = -2.2782 eV/atom
space-group type = Pm-3m, No. 221

(2)
VASP calculation (PBEsol) on crystalline AlTlIn2 at its relaxed geometry.

Structure (POSCAR):
```
AlTlIn2
1.0
3.6430 0.0000 0.0000
0.0000 5.1576 0.0000
0.0000 0.0000 5.1720
Al Tl In
1 1 2
Cartesian
0.0000 0.0000 0.0000
1.8215 2.5788 0.0000
0.0000 2.5788 2.5860
1.8215 0.0000 2.5860
```

Summary:
crystal system = orthorhombic
E_form = 0.1581 eV per atom
raw total energy = -3.0138 eV/atom
space-group type = Pmmm, No. 47

(3)
VASP calculation (PBEsol) on crystalline TiBeI2N at its relaxed geometry.

Structure (POSCAR):
```
TiBeI2N
1.0
5.5359 0.0000 0.0000
0.0000 5.5359 0.0000
0.0000 0.0000 3.7145
Ti Be I N
1 1 2 1
Cartesian
0.0000 0.0000 0.0000
2.7679 2.7679 1.8573
0.0000 2.7679 0.0000
2.7679 0.0000 0.0000
0.0000 0.0000 1.8573
```

Summary:
E_form (uncorrected) = 1.4 eV/f.u.
crystal system = tetragonal
raw total energy = -4.5977 eV/atom
space-group type = P4/mmm, No. 123

(4)
VASP calculation (PBEsol) on crystalline ZnNiAsBr2 at its relaxed geometry.

Structure (POSCAR):
```
ZnNiAsBr2
1.0
4.9297 0.0000 0.0000
0.0000 4.9297 0.0000
0.0000 0.0000 4.4981
Zn Ni As Br
1 1 1 2
Cartesian
0.0000 0.0000 0.0000
2.4648 2.4648 2.2491
2.4648 2.4648 0.0000
0.0000 2.4648 2.2491
2.4648 0.0000 2.2491
```

Summary:
E_form (uncorrected) = 1.4 eV/f.u.
crystal system = tetragonal
raw total energy = -3.0385 eV/atom
space-group type = P4/mmm, No. 123

(5)
VASP calculation (PBEsol) on crystalline Na3Cu2O4 at its relaxed geometry.

Structure (POSCAR):
```
Na3Cu2O4
1.0
5.3781 -1.4225 0.0000
5.3781 1.4225 0.0000
-3.3038 0.0000 7.1078
Na Cu O
3 2 4
Cartesian
0.0000 0.0000 0.0000
2.1284 0.0000 4.2935
5.3242 0.0000 2.8143
-0.6053 0.0000 5.5922
8.0579 0.0000 1.5157
1.5367 0.0000 2.0413
3.8599 0.0000 1.1372
3.5926 0.0000 5.9707
5.9158 0.0000 5.0665
```

Summary:
E_form (uncorrected) = -9.2 eV/f.u.
crystal system = monoclinic
raw total energy = -4.7846 eV/atom
space-group type = C2/m, No. 12

(6)
VASP calculation (PBEsol) on crystalline LiRuPt2Rh at its relaxed geometry.

Structure (POSCAR):
```
LiRuPt2Rh
1.0
4.7799 0.0000 0.0000
0.0000 4.7799 0.0000
0.0000 0.0000 4.5547
Li Ru Pt Rh
1 1 2 1
Cartesian
0.0000 0.0000 0.0000
2.3900 2.3900 2.2773
0.0000 2.3900 2.2773
2.3900 0.0000 2.2773
2.3900 2.3900 0.0000
```

Summary:
crystal system = tetragonal
E_form = 1.1202 eV per atom
raw total energy = -5.7208 eV/atom
space-group type = P4/mmm, No. 123

(7)
VASP calculation (PBEsol) on crystalline Zr2MoRh at its relaxed geometry.

Structure (POSCAR):
```
Zr2MoRh
1.0
3.2742 0.0000 0.0000
0.0000 3.2742 0.0000
0.0000 0.0000 6.5358
Zr Mo Rh
2 1 1
Cartesian
0.0000 0.0000 1.6322
0.0000 0.0000 4.9036
1.6371 1.6371 0.0000
1.6371 1.6371 3.2679
```

Summary:
crystal system = tetragonal
E_form = -0.4320 eV per atom
raw total energy = -9.9535 eV/atom
space-group type = P4/mmm, No. 123

(8)
VASP calculation (PBEsol) on crystalline Be2PRh at its relaxed geometry.

Structure (POSCAR):
```
Be2PRh
1.0
2.3303 -3.2909 0.0000
2.3303 3.2909 0.0000
0.0000 0.0000 2.7696
Be P Rh
2 1 1
Cartesian
1.1651 1.6455 0.0000
1.1651 -1.6455 0.0000
0.0000 0.0000 1.3848
2.3303 0.0000 1.3848
```

Summary:
crystal system = orthorhombic
E_form = -0.2785 eV per atom
raw total energy = -5.7609 eV/atom
space-group type = Cmmm, No. 65